Material: CaMn2Co
Method: DFT, PBE-GGA
State: relaxed

**Space-group type**: P4/mmm (123)
**Offset from the most stable computed form**: 0.312 eV per atom
**Raw total energy**: -6.298 eV per atom
**E_form**: 564 meV per atom
**Crystal system**: tetragonal

Geometry as CIF:
```
data_CaMn2Co
_chemical_formula_sum 'Ca1 Mn2 Co1'
_cell_length_a 4.000
_cell_length_b 4.000
_cell_length_c 4.190
_cell_angle_alpha 90.00
_cell_angle_beta 90.00
_cell_angle_gamma 90.02
_symmetry_space_group_name_H-M 'P 1'
_symmetry_Int_Tables_number 1
loop_
_symmetry_equiv_pos_as_xyz
'x,y,z'
loop_
_atom_site_label
_atom_site_fract_x
_atom_site_fract_y
_atom_site_fract_z
Ca1 0.500 0.000 0.500
Mn1 0.000 0.000 0.000
Mn2 0.500 0.500 0.000
Co1 0.000 0.500 0.500
```